# MgMoPd

MgMoPd after structural relaxation (GGA-PBE, the Alexandria database).

abc: 3.1389 4.2731 7.5139
angles: 83.58 78.05 89.94
Space group P-1 (No. 2)
Symmetry-distinct sites (fractional):
Mg 0.1663 0.0773 0.1639 (multiplicity 2)
Mo 0.0000 0.5000 0.5000 (multiplicity 1)
Mo 0.5000 0.0000 0.5000 (multiplicity 1)
Pd 0.3425 0.4304 0.8189 (multiplicity 2)

## Properties
Its energy relative to the elements is -127 meV/atom.